The following is a DFT calculation (PBE) of crystalline CsBaIn4 at its relaxed geometry.

Calculated values
Energy relative to the elements (eV per atom): -0.24
Raw total energy (eV/atom): -2.53

Unit cell a=9.317 b=9.317 c=9.317 alpha=90.00 beta=90.00 gamma=90.00
Space group F-43m (No. 216)
Symmetry-distinct sites (fractional):
1 Cs 0.000 0.000 0.000
2 Ba 0.250 0.250 0.250
3 In 0.125 0.125 0.625